# 1
VASP calculation (PBE) on a relaxed structure of ZnTcBr2.

Structure (POSCAR):
```
ZnTcBr2
1.0
-1.9669 1.7714 -2.1811
-0.0157 -2.5927 -2.0915
-7.9874 -3.4337 4.4141
Tc Zn Br
1 1 2
Direct
0.5000 0.2500 0.2500
0.5000 0.7500 0.7500
0.0000 0.2545 0.4397
0.0000 0.2455 0.0603
```

## Properties
Formation energy (no corrections) in eV per atom: 0.35
Relative energy among the computed polymorphs in meV per atom: 565
Space group: No. 10

# 2
VASP calculation (PBE) on a relaxed structure of ZnTcBr2.

Structure (POSCAR):
```
ZnTcBr2
1.0
4.7350 -0.0002 0.0000
-0.0183 7.0343 -0.0007
-0.9648 -0.6606 7.5928
Br Tc Zn
4 2 2
Direct
0.9860 0.1200 0.5719
0.9085 0.6410 0.2175
0.5441 0.5462 0.7203
0.3583 0.9705 0.0417
0.9131 0.3127 0.2973
0.8713 0.0794 0.1029
0.4393 0.3324 0.4228
0.7897 0.2929 0.8607
```

## Properties
Formation energy (no corrections) in eV per atom: -0.09
Relative energy among the computed polymorphs in meV per atom: 125
Space group: No. 1

Look up the formation energy (no corrections) of the first one.
0.35 eV per atom

What is the formation energy (no corrections) in the first record?
0.35 eV per atom